(1)
! Sr3Nd2PaAs6, optimized geometry, DFT GGA-PBE; values from VASP
! DOS at the Fermi energy	9.76	states/eV/cell
! ΔH_f (0 K)	-1244	meV/atom
! total energy	-0.4098	Ry per atom
! size of the total moment	0.00	Bohr magnetons per cell
&SYSTEM
  ibrav = 0, nat = 12, ntyp = 4
/
ATOMIC_SPECIES
As 74.92 As.upf
Nd 144.24 Nd.upf
Sr 87.62 Sr.upf
Pa 231.04 Pa.upf
CELL_PARAMETERS angstrom
7.519 -0.005 -0.003
-3.762 6.510 -0.003
-1.256 -2.175 7.153
ATOMIC_POSITIONS angstrom
As 0.104 4.335 5.549
As -1.202 2.075 1.599
As 2.398 -0.004 1.599
As 2.561 4.434 1.603
As 3.703 2.256 5.549
As -0.060 -0.104 5.545
Nd 0.002 4.337 -0.003
Nd 3.756 2.169 -0.003
Sr -2.467 4.312 3.574
Sr 4.968 0.018 3.574
Sr 1.251 2.165 3.574
Pa 0.000 0.000 0.000



(2)
! TbNd2PaAs4, optimized geometry, DFT GGA-PBE; values from VASP
! DOS at the Fermi energy	5.32	states/eV/cell
! ΔH_f (0 K)	-1414	meV/atom
! total energy	-0.4922	Ry per atom
! size of the total moment	0.00	Bohr magnetons per cell
&SYSTEM
  ibrav = 0, nat = 8, ntyp = 4
/
ATOMIC_SPECIES
As 74.92 As.upf
Tb 158.93 Tb.upf
Nd 144.24 Nd.upf
Pa 231.04 Pa.upf
CELL_PARAMETERS angstrom
4.191 0.000 0.000
0.000 7.228 0.121
0.000 -2.531 6.816
ATOMIC_POSITIONS angstrom
As 2.096 3.486 5.286
As 2.096 1.211 1.651
As 0.000 4.769 1.704
As 0.000 -0.071 5.232
Tb 0.000 0.000 0.000
Nd 2.096 -1.265 3.408
Nd 0.000 2.349 3.468
Pa 2.096 3.614 0.060



(3)
! Nd4Tm3PaAs8, optimized geometry, DFT GGA-PBE; values from VASP
! DOS at the Fermi energy	5.07	states/eV/cell
! ΔH_f (0 K)	-1457	meV/atom
! total energy	-0.4708	Ry per atom
! size of the total moment	0.00	Bohr magnetons per cell
&SYSTEM
  ibrav = 0, nat = 16, ntyp = 4
/
ATOMIC_SPECIES
Nd 144.24 Nd.upf
Tm 168.93 Tm.upf
As 74.92 As.upf
Pa 231.04 Pa.upf
CELL_PARAMETERS angstrom
8.323 0.000 0.000
0.000 8.349 0.013
-4.162 -4.158 5.888
ATOMIC_POSITIONS angstrom
Nd -2.081 -2.079 2.944
Nd 4.162 0.000 0.000
Nd 2.081 -2.079 2.944
Nd 0.000 0.000 0.000
Tm 2.081 2.096 2.950
Tm 4.162 4.175 0.006
Tm -2.081 2.096 2.950
As -2.094 2.017 5.845
As 2.094 2.017 5.845
As 0.000 0.083 3.000
As 6.256 2.174 0.056
As 0.000 4.109 2.883
As 4.162 0.083 3.017
As 2.068 2.174 0.056
As 4.162 4.109 2.900
Pa 0.000 4.175 0.006



(4)
! Nd3UPa2As6, optimized geometry, DFT GGA-PBE; values from VASP
! DOS at the Fermi energy	14.28	states/eV/cell
! ΔH_f (0 K)	-1227	meV/atom
! total energy	-0.5341	Ry per atom
! size of the total moment	2.88	Bohr magnetons per cell
&SYSTEM
  ibrav = 0, nat = 12, ntyp = 4
/
ATOMIC_SPECIES
As 74.92 As.upf
Pa 231.04 Pa.upf
Nd 144.24 Nd.upf
U 238.03 U.upf
CELL_PARAMETERS angstrom
-1.386 2.514 3.013
4.111 -4.569 5.704
6.750 5.094 -4.020
ATOMIC_POSITIONS angstrom
As 1.660 2.924 1.198
As 7.815 0.115 3.499
As 1.028 -1.077 1.372
As 3.732 0.798 3.925
As 5.743 2.242 0.771
As 8.446 4.117 3.324
Pa 6.116 2.450 3.643
Pa 3.359 0.590 1.053
Nd 4.026 4.720 0.788
Nd 1.362 -1.027 4.358
Nd 5.448 -1.681 3.909
U -0.693 1.257 1.506



(5)
! NdU2PaAs4, optimized geometry, DFT GGA-PBE; values from VASP
! DOS at the Fermi energy	14.24	states/eV/cell
! ΔH_f (0 K)	-991	meV/atom
! total energy	-0.5822	Ry per atom
! size of the total moment	5.33	Bohr magnetons per cell
&SYSTEM
  ibrav = 0, nat = 8, ntyp = 4
/
ATOMIC_SPECIES
As 74.92 As.upf
Pa 231.04 Pa.upf
U 238.03 U.upf
Nd 144.24 Nd.upf
CELL_PARAMETERS angstrom
4.095 0.000 0.000
0.000 7.246 -0.196
0.000 2.498 6.653
ATOMIC_POSITIONS angstrom
As 2.048 6.090 1.544
As 2.048 3.655 4.913
As 0.000 7.341 4.782
As 4.095 2.404 1.675
Pa 0.000 4.872 3.228
U 0.000 2.498 6.653
U 2.048 1.249 3.326
Nd 2.048 3.623 -0.098



(6)
! Nd2UPaAs4, optimized geometry, DFT GGA-PBE; values from VASP
! DOS at the Fermi energy	11.27	states/eV/cell
! ΔH_f (0 K)	-1198	meV/atom
! total energy	-0.5375	Ry per atom
! size of the total moment	3.05	Bohr magnetons per cell
&SYSTEM
  ibrav = 0, nat = 8, ntyp = 4
/
ATOMIC_SPECIES
Pa 231.04 Pa.upf
Nd 144.24 Nd.upf
As 74.92 As.upf
U 238.03 U.upf
CELL_PARAMETERS angstrom
-0.707 2.473 3.269
5.157 -3.404 3.690
2.944 5.625 -3.618
ATOMIC_POSITIONS angstrom
Pa 2.225 -0.466 3.480
Nd 4.051 1.111 0.036
Nd 1.119 4.049 -0.175
As 5.782 2.963 1.655
As 4.539 -1.204 1.893
As 3.562 3.426 -1.821
As 1.613 1.731 1.686
U 0.000 0.000 0.000